No. 1
Density functional theory data (PBE) for Zn2CuBi after structural relaxation.

Values from the calculation:
As for the crystal system: cubic. The total DFT energy (no corrections) comes out at -9.20 eV per formula unit. For the mass density, the calculation gives 8.86 g/cm³. Its symmetry is F-43m, No. 216.

```
Zn2CuBi
1.0
-1.655 -2.812 3.448
-4.536 -1.399 -0.051
-1.077 -4.526 -0.941
Bi Cu Zn
1 1 2
direct
0.500 0.500 0.500 Bi
0.250 0.250 0.250 Cu
0.000 0.000 0.000 Zn
0.750 0.750 0.750 Zn
```

No. 2
Density functional theory data (PBE) for CsTmLuTe3 after structural relaxation.

Values from the calculation:
As for the crystal system: orthorhombic. The magnetic moment comes out at 0.135 μB per cell. For the mass density, the calculation gives 6.02 g/cm³. Its symmetry is Cmcm, No. 63. The energy relative to the lowest polymorph listed for this composition comes out at 15 meV/atom.

```
CsTmLuTe3
1.0
2.295 -8.800 0.000
2.295 8.800 0.000
0.000 0.000 11.747
Cs Lu Te Tm
2 2 6 2
direct
0.245 0.755 0.250 Cs
0.755 0.245 0.750 Cs
0.500 0.500 0.000 Lu
0.500 0.500 0.500 Lu
0.881 0.119 0.039 Te
0.566 0.434 0.250 Te
0.881 0.119 0.461 Te
0.119 0.881 0.539 Te
0.434 0.566 0.750 Te
0.119 0.881 0.961 Te
0.964 0.036 0.250 Tm
0.036 0.964 0.750 Tm
```

No. 3
Density functional theory data (PBE) for BeZnCd after structural relaxation.

Values from the calculation:
As for the crystal system: cubic. For the mass density, the calculation gives 5.89 g/cm³. Its symmetry is F-43m, No. 216. The energy relative to the lowest polymorph listed for this composition comes out at 258 meV/atom.

```
BeZnCd
1.0
0.000 2.975 2.975
2.975 0.000 2.975
2.975 2.975 0.000
Be Cd Zn
1 1 1
direct
0.250 0.250 0.250 Be
0.000 0.000 0.000 Cd
0.750 0.750 0.750 Zn
```

No. 4
Density functional theory data (PBE) for TbDyZn2Si2 after structural relaxation.

Values from the calculation:
As for the crystal system: hexagonal. The total DFT energy (no corrections) comes out at -26.46 eV per formula unit. The magnetic moment comes out at 0.003 μB per cell. For the mass density, the calculation gives 7.18 g/cm³. Its symmetry is P6_3/mmc, No. 194.

```
TbDyZn2Si2
1.0
4.134 0.000 0.000
-2.067 3.580 0.000
0.000 0.000 15.896
Dy Si Tb Zn
2 4 2 4
direct
0.000 0.000 0.250 Dy
0.000 0.000 0.750 Dy
0.667 0.333 0.119 Si
0.667 0.333 0.381 Si
0.333 0.667 0.619 Si
0.333 0.667 0.881 Si
0.000 0.000 0.000 Tb
0.000 0.000 0.500 Tb
0.333 0.667 0.136 Zn
0.333 0.667 0.364 Zn
0.667 0.333 0.636 Zn
0.667 0.333 0.864 Zn
```

No. 5
Density functional theory data (PBE) for RbErTa after structural relaxation.

Values from the calculation:
As for the crystal system: cubic. The total DFT energy (no corrections) comes out at -11.31 eV per formula unit. The magnetic moment comes out at 4.849 μB per cell. For the mass density, the calculation gives 6.11 g/cm³. Its symmetry is F-43m, No. 216.

```
RbErTa
1.0
2.251 1.059 4.909
-3.021 -0.484 4.574
0.980 -4.113 3.523
Er Rb Ta
1 1 1
direct
0.000 0.000 0.000 Er
0.250 0.250 0.250 Rb
0.750 0.750 0.750 Ta
```

No. 6
Density functional theory data (PBE) for Er2LuAs3 after structural relaxation.

Values from the calculation:
As for the crystal system: trigonal. The total DFT energy (no corrections) comes out at -36.62 eV per formula unit. The magnetic moment comes out at 0.016 μB per cell. For the mass density, the calculation gives 8.60 g/cm³. Its symmetry is P-3m1, No. 164.

```
Er2LuAs3
1.0
-2.435 -0.988 -3.094
-1.322 -0.369 3.821
-3.421 9.323 -0.284
As Er Lu
3 2 1
direct
0.000 0.000 0.000 As
0.333 0.667 0.336 As
0.667 0.333 0.664 As
0.667 0.333 0.168 Er
0.333 0.667 0.832 Er
0.000 0.000 0.500 Lu
```

No. 7
Density functional theory data (PBE) for Zn2Pb after structural relaxation.

Values from the calculation:
As for the crystal system: orthorhombic. The total DFT energy (no corrections) comes out at -5.74 eV per formula unit. For the mass density, the calculation gives 8.64 g/cm³. Its symmetry is Pmmn, No. 59.

```
Zn2Pb
1.0
-2.796 -2.337 3.013
-4.341 -5.227 -8.083
3.610 -3.719 0.466
Pb Zn
4 8
direct
0.061 0.006 0.000 Pb
0.061 0.660 0.000 Pb
0.772 0.160 0.500 Pb
0.772 0.506 0.500 Pb
0.478 0.212 0.000 Zn
0.982 0.333 0.000 Zn
0.478 0.455 0.000 Zn
0.565 0.833 0.000 Zn
0.268 0.333 0.500 Zn
0.355 0.712 0.500 Zn
0.852 0.833 0.500 Zn
0.355 0.955 0.500 Zn
```

No. 8
Density functional theory data (PBE) for SmTmPO after structural relaxation.

Values from the calculation:
As for the crystal system: tetragonal. The magnetic moment comes out at 0.004 μB per cell. For the mass density, the calculation gives 7.50 g/cm³. Its symmetry is P4/nmm, No. 129. The energy relative to the lowest polymorph listed for this composition comes out at 150 meV/atom.

```
SmTmPO
1.0
-2.581 1.221 3.241
1.850 -2.930 2.577
5.892 5.894 2.472
O P Sm Tm
2 2 2 2
direct
0.000 0.000 0.000 O
0.500 0.500 0.000 O
0.500 0.000 0.313 P
0.000 0.500 0.687 P
0.000 0.500 0.111 Sm
0.500 0.000 0.889 Sm
0.000 0.000 0.500 Tm
0.500 0.500 0.500 Tm
```

No. 9
Density functional theory data (PBE) for YTm2Al3Si2Ir after structural relaxation.

Values from the calculation:
As for the crystal system: orthorhombic. The total DFT energy (no corrections) comes out at -54.17 eV per formula unit. The magnetic moment comes out at 0.005 μB per cell. For the mass density, the calculation gives 7.33 g/cm³. Its symmetry is Amm2, No. 38.

```
YTm2Al3Si2Ir
1.0
4.200 0.000 0.000
0.000 5.951 3.427
0.000 -5.951 3.427
Al Ir Si Tm Y
3 1 2 2 1
direct
0.500 0.766 0.001 Al
0.500 0.234 0.234 Al
0.500 0.001 0.766 Al
0.000 0.004 0.004 Ir
0.500 0.668 0.331 Si
0.500 0.331 0.668 Si
0.000 0.999 0.415 Tm
0.000 0.415 0.999 Tm
0.000 0.582 0.582 Y
```

No. 10
Density functional theory data (PBE) for CdAgW2 after structural relaxation.

Values from the calculation:
The formation energy is 0.781 eV per atom. As for the crystal system: cubic. The magnetic moment comes out at 0.000 μB per cell. For the mass density, the calculation gives 14.04 g/cm³. Its symmetry is F-43m, No. 216.

```
CdAgW2
1.0
-1.240 -2.119 3.909
-4.448 -0.935 0.808
-1.499 -4.364 -0.116
Ag Cd W
1 1 2
direct
0.750 0.750 0.750 Ag
0.500 0.500 0.500 Cd
0.000 0.000 0.000 W
0.250 0.250 0.250 W
```

No. 11
Density functional theory data (PBE) for SrCdOs2 after structural relaxation.

Values from the calculation:
As for the crystal system: cubic. The total DFT energy (no corrections) comes out at -21.20 eV per formula unit. The magnetic moment comes out at 0.001 μB per cell. For the mass density, the calculation gives 12.59 g/cm³. Its symmetry is F-43m, No. 216.

```
SrCdOs2
1.0
0.000 3.371 3.371
3.371 0.000 3.371
3.371 3.371 0.000
Cd Os Sr
1 2 1
direct
0.500 0.500 0.500 Cd
0.000 0.000 0.000 Os
0.250 0.250 0.250 Os
0.750 0.750 0.750 Sr
```

No. 12
Density functional theory data (PBE) for ErMg2PdAu4 after structural relaxation.

Values from the calculation:
As for the crystal system: tetragonal. The total DFT energy (no corrections) comes out at -30.63 eV per formula unit. The magnetic moment comes out at 0.021 μB per cell. For the mass density, the calculation gives 12.18 g/cm³. Its symmetry is P4/mmm, No. 123.

```
ErMg2PdAu4
1.0
-4.237 1.383 -1.600
1.013 -1.816 -4.255
-2.645 -5.912 1.894
Au Er Mg Pd
4 1 2 1
direct
0.500 0.000 0.259 Au
0.000 0.500 0.259 Au
0.500 0.000 0.741 Au
0.000 0.500 0.741 Au
0.500 0.500 0.000 Er
0.000 0.000 0.000 Mg
0.500 0.500 0.500 Mg
0.000 0.000 0.500 Pd
```